(1)
PBE BeFeSeN2, relaxed; theoretical density = 4.36 g cm⁻³; formation energy from raw total energies = 757 meV/atom
1.0
3.502 0.000 0.000
0.000 3.502 0.000
0.000 0.000 5.331
Se N Fe Be
1 2 1 1
direct
0.000 0.000 0.500
0.500 0.000 0.000
0.000 0.500 0.000
0.000 0.000 0.000
0.500 0.500 0.500



(2)
PBE Sb2AsPb, relaxed; theoretical density = 7.21 g cm⁻³; formation energy from raw total energies = 25 meV/atom
1.0
-0.144 -1.702 -3.937
-2.543 -3.137 1.449
-5.290 3.648 -1.384
Sb As Pb
2 1 1
direct
0.000 0.000 0.192
0.500 0.500 0.099
0.000 0.000 0.588
0.500 0.500 0.621